Fe2Cu | Alexandria | GGA-PBE | relaxed; E = -40.37 eV for the cell shown; ΔE_f = 0.28 eV/atom
1.0
0.0000 3.3040 3.3040
3.3040 0.0000 3.3040
3.3040 3.3040 0.0000
Fe Cu
4 2
direct
0.0000 0.0000 0.0000
0.0000 0.0000 0.5000
0.0000 0.5000 0.0000
0.5000 0.0000 0.0000
0.3750 0.3750 0.3750
0.6250 0.6250 0.6250